VASP calculation (PBE+U) on an optimized crystal structure of LiMoO2.

The structure in CIF format:
```
data_LiMoO2
_cell_length_a 5.087
_cell_length_b 5.270
_cell_length_c 3.184
_cell_angle_alpha 90.00
_cell_angle_beta 90.00
_cell_angle_gamma 90.00
_space_group_name_H-M_alt 'P n n m'
_space_group_IT_number 58
_space_group_name_Hall '-P 2 2n'
loop_
_atom_site_label
_atom_site_fract_x
_atom_site_fract_y
_atom_site_fract_z
Li1 0.000 0.000 0.000
Mo1 0.000 0.500 0.000
O1 0.174 0.272 0.500
```

Calculated values
Excess energy over the best structure of this formula in the dataset in meV/atom: 28.7
Total DFT energy (no corrections) in eV/cell: -51.63
Magnetization in μB/f.u.: 3.00